(1)
LuCuTcSn: optimized geometry, GGA-PBE.

abc: 4.7196 4.7196 4.7196
angles: 60.00 60.00 60.00
Element x y z (fractional)
Lu 0.0000 0.0000 0.0000
Cu 0.5000 0.5000 0.5000
Tc 0.7500 0.7500 0.7500
Sn 0.2500 0.2500 0.2500

excess energy over the best structure of this formula in the dataset	360	meV/atom
SG	F-43m
total energy	-5.3750	eV per atom

=====

(2)
LuCuTcSn: optimized geometry, GGA-PBE.

abc: 4.6607 4.6607 4.6607
angles: 60.00 60.00 60.00
Element x y z (fractional)
Lu 0.0000 0.0000 0.0000
Cu 0.7500 0.7500 0.7500
Tc 0.2500 0.2500 0.2500
Sn 0.5000 0.5000 0.5000

excess energy over the best structure of this formula in the dataset	0	meV/atom
SG	F-43m
total energy	-5.7352	eV per atom